Here is an optimized crystal structure of BaMgMo2O8 from the Alexandria database. Energies are from PBE+U.

Unit cell a=5.8042 b=5.8042 c=7.2628 alpha=90.00 beta=90.00 gamma=120.00
With the nearest neighbours (Å) after each atom.
Sites, in units of the cell vectors:
Mo: 0.6667 0.3333 0.2517  4 O 1.78-1.80
Mo: 0.3333 0.6667 0.7483  4 O 1.78-1.80
O: 0.6667 0.3333 0.4964  1 Mo 1.78
O: 0.3333 0.6667 0.5036  1 Mo 1.78
O: 0.8381 0.1619 0.1800  1 Mo 1.80
O: 0.8381 0.6762 0.1800  1 Mo 1.80
O: 0.1619 0.8381 0.8200  1 Mo 1.80
O: 0.6762 0.8381 0.8200  1 Mo 1.80
O: 0.1619 0.3238 0.8200  1 Mo 1.80
O: 0.3238 0.1619 0.1800  1 Mo 1.80
Ba: 0.0000 0.0000 0.5000  6 O 2.84
Mg: 0.0000 0.0000 0.0000  6 O 2.09

Results
Density of states at the Fermi level ... 0.00 states/eV/cell
Calculated total energy ... -6.9333 eV/atom
Spin magnetization ... 0.00 μB per atom
Calculated density ... 3.773 g/cm3